Here is Li3NbFe3O8 after structural relaxation from Alexandria via LeMat-Bulk. Energies are from PBE with a Hubbard U.

The structure in POSCAR format:
```
Li3NbFe3O8
1.0
5.252 -2.966 0.000
5.252 2.966 0.000
-3.341 0.000 4.938
Li Nb Fe O
3 1 3 8
Cartesian
0.000 0.000 0.000
2.626 1.483 0.000
2.626 -1.483 0.000
3.582 0.000 2.469
-1.670 0.000 2.469
0.956 1.483 2.469
0.956 -1.483 2.469
0.005 0.000 3.478
2.795 1.509 3.582
4.368 1.509 1.356
1.891 0.000 1.301
5.273 0.000 3.637
2.795 -1.509 3.582
4.368 -1.509 1.356
7.158 0.000 1.460
```

Calculated values
V ... 153.8 Å³/cell
Size of the total moment ... 10.00 Bohr magnetons per cell
Symmetry ... C2/m (12)
Energy ... -6.587 eV/atom